Record 1
Crystalline K2ZrUS4 at its relaxed geometry, computed with PBE-GGA. Values from VASP.

Summary:
- Calculated total energy: -6.254 eV/atom
- Raw formation energy: -33.13 kcal/mol of atoms

```
&SYSTEM
  ibrav = 0, nat = 8, ntyp = 4
/
ATOMIC_SPECIES
K 39.10 K.upf
Zr 91.22 Zr.upf
U 238.03 U.upf
S 32.06 S.upf
ATOMIC_POSITIONS angstrom
K 0.000 0.000 0.000
K 3.355 1.946 0.000
Zr -1.116 1.946 3.740
U 2.239 0.000 3.740
S -0.058 0.000 5.242
S 1.050 1.946 2.200
S 3.428 1.946 5.280
S 4.536 0.000 2.238
CELL_PARAMETERS angstrom
6.710 0.000 0.000
0.000 3.891 0.000
-2.232 0.000 7.480
```


Record 2
Crystalline KV2S2 at its relaxed geometry, computed with PBE-GGA. Values from VASP.

Summary:
- Calculated total energy: -5.973 eV/atom
- Raw formation energy: -10.50 kcal/mol of atoms

```
&SYSTEM
  ibrav = 0, nat = 5, ntyp = 3
/
ATOMIC_SPECIES
K 39.10 K.upf
V 50.94 V.upf
S 32.06 S.upf
ATOMIC_POSITIONS angstrom
K 0.000 0.000 0.000
V 0.000 0.000 3.000
V 0.000 0.000 4.946
S 2.357 0.000 1.986
S 0.000 2.357 1.986
CELL_PARAMETERS angstrom
-2.357 2.357 3.973
2.357 -2.357 3.973
2.357 2.357 -3.973
```


Repeat the second record exactly.
Crystalline KV2S2 at its relaxed geometry, computed with PBE-GGA. Values from VASP.

Summary:
- Calculated total energy: -5.973 eV/atom
- Raw formation energy: -10.50 kcal/mol of atoms

```
&SYSTEM
  ibrav = 0, nat = 5, ntyp = 3
/
ATOMIC_SPECIES
K 39.10 K.upf
V 50.94 V.upf
S 32.06 S.upf
ATOMIC_POSITIONS angstrom
K 0.000 0.000 0.000
V 0.000 0.000 3.000
V 0.000 0.000 4.946
S 2.357 0.000 1.986
S 0.000 2.357 1.986
CELL_PARAMETERS angstrom
-2.357 2.357 3.973
2.357 -2.357 3.973
2.357 2.357 -3.973
```


> Look up the calculated total energy of the first one.

-6.254 eV/atom


> Which value of calculated total energy does entry 1 give?

-6.254 eV/atom